1.
Crystalline Mn2ZnB at its relaxed geometry, computed with PBE.

**DOS(E_F)**: 7.12 states/eV/cell
**Energy of formation**: 0.673 eV/atom
**Magnetization**: 0.00 μB per formula unit
**Energy**: -47.2 eV/cell
**Space-group type**: I-42d

a = 3.415 Å, b = 3.415 Å, c = 8.327 Å
α = 78.17°, β = 78.17°, γ = 90.00°
Sites, in units of the cell vectors:
Mn: 0.375 0.793 0.750
Mn: 0.875 0.457 0.750
Mn: 0.207 0.125 0.250
Mn: 0.543 0.625 0.250
B: 0.500 0.500 0.000
B: 0.250 0.750 0.500
Zn: 0.000 0.000 0.000
Zn: 0.750 0.250 0.500

2.
Crystalline MgZrRhN2 at its relaxed geometry, computed with PBE.

**DOS(E_F)**: 4.37 states/eV/cell
**Magnetization**: 0.01 μB per formula unit
**Energy**: -29.3 eV/cell
**Space-group type**: P4/mmm
**Raw formation energy**: 0.965 eV/atom
**ΔE to the lowest computed polymorph**: 0 meV per atom

a = 3.967 Å, b = 4.522 Å, c = 3.967 Å
α = 90.00°, β = 90.00°, γ = 90.00°
Sites, in units of the cell vectors:
N: 0.500 0.000 0.000
N: 0.000 0.000 0.500
Zr: 0.500 0.500 0.500
Rh: 0.000 0.500 0.000
Mg: 0.000 0.000 0.000

3.
Crystalline Pu2MgSn4 at its relaxed geometry, computed with PBE.

**DOS(E_F)**: 17.79 states/eV/cell
**Energy of formation**: -0.213 eV/atom
**Magnetization**: 11.20 μB per formula unit
**Energy**: -47.8 eV/cell
**Space-group type**: C2/m

a = 5.710 Å, b = 6.521 Å, c = 6.521 Å
α = 122.42°, β = 72.94°, γ = 107.06°
Sites, in units of the cell vectors:
Pu: 0.005 0.756 0.244
Pu: 0.995 0.244 0.756
Mg: 0.500 0.500 0.500
Sn: 0.500 0.500 0.000
Sn: 0.500 0.000 0.500
Sn: 0.000 0.254 0.254
Sn: 0.000 0.746 0.746

4.
Crystalline CsPrP2Pt4 at its relaxed geometry, computed with PBE.

**DOS(E_F)**: 5.14 states/eV/cell
**Energy of formation**: -0.706 eV/atom
**Magnetization**: 0.00 μB per formula unit
**Energy**: -46.3 eV/cell
**Space-group type**: P4/mmm

a = 4.068 Å, b = 4.068 Å, c = 11.620 Å
α = 90.00°, β = 90.00°, γ = 90.00°
Sites, in units of the cell vectors:
P: 0.500 0.500 0.298
P: 0.500 0.500 0.702
Pt: 0.000 0.500 0.803
Pt: 0.000 0.500 0.197
Pt: 0.500 0.000 0.197
Pt: 0.500 0.000 0.803
Pr: 0.000 0.000 0.000
Cs: 0.000 0.000 0.500

5.
Crystalline Cd2SiTc at its relaxed geometry, computed with PBE.

**DOS(E_F)**: 1.73 states/eV/cell
**Magnetization**: 0.00 μB per formula unit
**Energy**: -17.3 eV/cell
**Space-group type**: Pm
**Raw formation energy**: 0.087 eV/atom

a = 3.840 Å, b = 2.881 Å, c = 6.916 Å
α = 77.98°, β = 90.00°, γ = 90.00°
Sites, in units of the cell vectors:
Si: 0.000 0.268 0.591
Cd: 0.500 0.429 0.268
Cd: 0.000 0.067 0.988
Tc: 0.500 0.737 0.653

6.
Crystalline Fe2RePt at its relaxed geometry, computed with PBE.

**DOS(E_F)**: 3.60 states/eV/cell
**Energy of formation**: 0.053 eV/atom
**Magnetization**: 0.00 μB per formula unit
**Energy**: -35.2 eV/cell
**Space-group type**: P4/mmm

a = 3.789 Å, b = 3.789 Å, c = 3.560 Å
α = 90.00°, β = 90.00°, γ = 90.00°
Sites, in units of the cell vectors:
Fe: 0.500 0.500 0.000
Fe: 0.000 0.000 0.000
Re: 0.000 0.500 0.500
Pt: 0.500 0.000 0.500

7.
Crystalline Mg2InCl at its relaxed geometry, computed with PBE.

**DOS(E_F)**: 1.83 states/eV/cell
**Magnetization**: 0.00 μB per formula unit
**Energy**: -8.5 eV/cell
**Space-group type**: I4/mmm
**Raw formation energy**: -0.190 eV/atom
**ΔE to the lowest computed polymorph**: 368 meV per atom

a = 5.491 Å, b = 5.491 Å, c = 5.491 Å
α = 128.59°, β = 128.59°, γ = 75.67°
Sites, in units of the cell vectors:
Mg: 0.000 0.000 0.000
Mg: 0.500 0.500 0.000
In: 0.750 0.250 0.500
Cl: 0.250 0.750 0.500

8.
Crystalline RbOsCl2 at its relaxed geometry, computed with PBE.

**DOS(E_F)**: 5.56 states/eV/cell
**Magnetization**: 0.73 μB per formula unit
**Energy**: -31.0 eV/cell
**Space-group type**: I-42d
**Raw formation energy**: 0.095 eV/atom
**ΔE to the lowest computed polymorph**: 0 meV per atom

a = 5.974 Å, b = 5.974 Å, c = 7.929 Å
α = 67.87°, β = 67.87°, γ = 90.00°
Sites, in units of the cell vectors:
Os: 0.750 0.250 0.500
Os: 0.000 0.000 0.000
Cl: 0.875 0.007 0.750
Cl: 0.375 0.243 0.750
Cl: 0.993 0.625 0.250
Cl: 0.757 0.125 0.250
Rb: 0.500 0.500 0.000
Rb: 0.250 0.750 0.500

9.
Crystalline Dy5Co2Pb at its relaxed geometry, computed with PBE.

**DOS(E_F)**: 19.42 states/eV/cell
**Energy of formation**: -0.285 eV/atom
**Magnetization**: 0.00 μB per formula unit
**Energy**: -86.4 eV/cell
**Space-group type**: I4/mcm

a = 7.609 Å, b = 7.609 Å, c = 8.696 Å
α = 115.94°, β = 115.94°, γ = 90.00°
Sites, in units of the cell vectors:
Dy: 0.470 0.290 0.259
Dy: 0.970 0.470 0.259
Dy: 0.710 0.210 0.741
Dy: 0.500 0.500 0.000
Dy: 0.530 0.710 0.741
Dy: 0.210 0.030 0.741
Dy: 0.790 0.970 0.259
Dy: 0.290 0.790 0.259
Dy: 0.000 0.000 0.000
Dy: 0.030 0.530 0.741
Co: 0.135 0.365 0.000
Co: 0.865 0.635 0.000
Co: 0.365 0.865 0.000
Co: 0.635 0.135 0.000
Pb: 0.750 0.750 0.500
Pb: 0.250 0.250 0.500

10.
Crystalline Cs4HfSe4 at its relaxed geometry, computed with PBE.

**DOS(E_F)**: 0.00 states/eV/cell
**Magnetization**: 0.00 μB per formula unit
**Energy**: -39.1 eV/cell
**Space-group type**: I-42m
**Raw formation energy**: -1.314 eV/atom

a = 7.416 Å, b = 8.940 Å, c = 7.416 Å
α = 65.50°, β = 90.00°, γ = 114.50°
Sites, in units of the cell vectors:
Se: 0.702 0.794 0.298
Se: 0.298 0.206 0.092
Se: 0.908 0.206 0.702
Se: 0.092 0.794 0.908
Hf: 0.000 0.000 0.000
Cs: 0.553 0.714 0.839
Cs: 0.161 0.714 0.447
Cs: 0.839 0.286 0.161
Cs: 0.447 0.286 0.553

11.
Crystalline SnTe2PbI at its relaxed geometry, computed with PBE.

**DOS(E_F)**: 1.58 states/eV/cell
**Magnetization**: 0.00 μB per formula unit
**Energy**: -14.0 eV/cell
**Space-group type**: P4/mmm
**Raw formation energy**: 0.307 eV/atom
**ΔE to the lowest computed polymorph**: 193 meV per atom

a = 5.891 Å, b = 5.891 Å, c = 6.014 Å
α = 90.00°, β = 90.00°, γ = 90.00°
Sites, in units of the cell vectors:
Te: 0.500 0.000 0.000
Te: 0.000 0.500 0.000
I: 0.000 0.000 0.500
Pb: 0.000 0.000 0.000
Sn: 0.500 0.500 0.500

12.
Crystalline La5MgIn6 at its relaxed geometry, computed with PBE.

**DOS(E_F)**: 8.64 states/eV/cell
**Energy of formation**: -0.453 eV/atom
**Magnetization**: 0.00 μB per formula unit
**Energy**: -48.1 eV/cell
**Space-group type**: C2/m

a = 5.486 Å, b = 7.825 Å, c = 9.552 Å
α = 114.18°, β = 106.73°, γ = 90.00°
Sites, in units of the cell vectors:
La: 0.336 0.336 0.671
La: 0.327 0.826 0.653
La: 0.673 0.174 0.347
La: 0.664 0.664 0.329
La: 0.000 0.500 0.000
In: 0.156 0.390 0.312
In: 0.844 0.077 0.688
In: 0.500 0.776 0.000
In: 0.500 0.224 0.000
In: 0.844 0.610 0.688
In: 0.156 0.923 0.312
Mg: 0.000 0.000 0.000

13.
Crystalline HgAsS2O8 at its relaxed geometry, computed with PBE.

**DOS(E_F)**: 1.86 states/eV/cell
**Magnetization**: 0.92 μB per formula unit
**Energy**: -63.9 eV/cell
**Space-group type**: C2/m
**Raw formation energy**: -0.921 eV/atom

a = 5.436 Å, b = 5.430 Å, c = 7.369 Å
α = 62.44°, β = 68.36°, γ = 59.96°
Sites, in units of the cell vectors:
Hg: 0.500 0.500 0.500
S: 0.702 0.734 0.861
S: 0.298 0.266 0.139
O: 0.874 0.480 0.772
O: 0.650 0.613 0.086
O: 0.420 0.932 0.778
O: 0.130 0.068 0.222
O: 0.580 0.068 0.222
O: 0.870 0.932 0.778
O: 0.350 0.387 0.914
O: 0.126 0.520 0.228
As: 0.000 0.000 0.000

14.
Crystalline LiAs2Au at its relaxed geometry, computed with PBE.

**DOS(E_F)**: 1.86 states/eV/cell
**Energy of formation**: -0.001 eV/atom
**Magnetization**: 0.00 μB per formula unit
**Energy**: -14.5 eV/cell
**Space-group type**: R-3m
**ΔE to the lowest computed polymorph**: 236 meV per atom

a = 8.358 Å, b = 8.358 Å, c = 8.358 Å
α = 22.21°, β = 22.21°, γ = 22.21°
Sites, in units of the cell vectors:
As: 0.000 0.000 0.000
As: 0.500 0.500 0.500
Au: 0.250 0.250 0.250
Li: 0.750 0.750 0.750

15.
Crystalline Ac5AlHg4 at its relaxed geometry, computed with PBE.

**DOS(E_F)**: 9.73 states/eV/cell
**Energy of formation**: -0.425 eV/atom
**Magnetization**: 0.72 μB per formula unit
**Energy**: -29.7 eV/cell
**Space-group type**: P4/mmm

a = 4.020 Å, b = 4.020 Å, c = 20.218 Å
α = 90.00°, β = 90.00°, γ = 90.00°
Sites, in units of the cell vectors:
Hg: 0.000 0.000 0.399
Hg: 0.000 0.000 0.804
Hg: 0.000 0.000 0.601
Hg: 0.000 0.000 0.196
Ac: 0.500 0.500 0.702
Ac: 0.500 0.500 0.298
Ac: 0.500 0.500 0.500
Ac: 0.500 0.500 0.906
Ac: 0.500 0.500 0.094
Al: 0.000 0.000 0.000

16.
Crystalline TbYGaSe at its relaxed geometry, computed with PBE.

**DOS(E_F)**: 1.65 states/eV/cell
**Magnetization**: 0.00 μB per formula unit
**Energy**: -22.4 eV/cell
**Space-group type**: R3m
**Raw formation energy**: -1.190 eV/atom

a = 3.975 Å, b = 3.975 Å, c = 7.681 Å
α = 75.00°, β = 75.00°, γ = 60.00°
Sites, in units of the cell vectors:
Se: 0.500 0.500 0.501
Y: 0.752 0.752 0.745
Tb: 0.249 0.249 0.254
Ga: 0.000 0.000 0.000

17.
Crystalline Eu2AsPd at its relaxed geometry, computed with PBE.

**DOS(E_F)**: 18.29 states/eV/cell
**Energy of formation**: -0.850 eV/atom
**Magnetization**: 13.67 μB per formula unit
**Energy**: -33.8 eV/cell
**Space-group type**: P4/mmm
**ΔE to the lowest computed polymorph**: 24 meV per atom

a = 3.808 Å, b = 5.062 Å, c = 5.062 Å
α = 90.00°, β = 90.00°, γ = 90.00°
Sites, in units of the cell vectors:
Eu: 0.000 0.000 0.500
Eu: 0.000 0.500 0.000
Pd: 0.500 0.000 0.000
As: 0.500 0.500 0.500